[1]
NaGaSN2 | PBEsol | relaxed

Values from the calculation:
The calculation puts the total magnetization at 3.945 μB per cell. As for the total energy: -22.23 eV/cell. The value obtained for the density of states at the Fermi level is 2.2 states/eV per cell.

Cell: 3.9709 3.9709 4.9423 Å, 90.00 90.00 90.00°
Space group P4/mmm (No. 123)
Asymmetric unit:
Na (0.0000, 0.0000, 0.0000)
Ga (0.5000, 0.5000, 0.5000)
S (0.5000, 0.5000, 0.0000)
N (0.0000, 0.5000, 0.5000)



[2]
FeRe2Cl | PBEsol | relaxed

Values from the calculation:
The calculation puts the total magnetization at 2.408 μB per cell. As for the total energy: -135.97 eV/cell. The value obtained for the relative energy among the computed polymorphs is 9.846 kcal/mol of atoms. The value obtained for the density of states at the Fermi level is 16.3 states/eV per cell.

Cell: 5.9249 5.9249 5.9249 Å, 90.00 90.00 90.00°
Space group Fm-3m (No. 225)
Asymmetric unit:
Fe (0.0000, 0.0000, 0.0000)
Re (0.2500, 0.2500, 0.2500)
Cl (0.0000, 0.0000, 0.5000)



[3]
GeSe2NO | PBEsol | relaxed

Values from the calculation:
The calculation puts the total magnetization at 1.075 μB per cell. As for the total energy: -20.14 eV/cell. The value obtained for the density of states at the Fermi level is 5.1 states/eV per cell.

Cell: 5.0274 5.0274 3.4879 Å, 90.00 90.00 90.00°
Space group P4/mmm (No. 123)
Asymmetric unit:
Ge (0.0000, 0.0000, 0.0000)
Se (0.0000, 0.5000, 0.0000)
N (0.0000, 0.0000, 0.5000)
O (0.5000, 0.5000, 0.5000)



[4]
V2Cu3O8 | PBEsol | relaxed

Values from the calculation:
The calculation puts the total magnetization at 4.943 μB per cell. As for the total energy: -186.76 eV/cell. The value obtained for the relative energy among the computed polymorphs is 0.094 kcal/mol of atoms. The value obtained for the density of states at the Fermi level is 8.5 states/eV per cell.

Cell: 6.2149 7.9041 6.3746 Å, 90.00 110.48 90.00°
Space group P2_1/c (No. 14)
Asymmetric unit:
V (0.2462, 0.1172, 0.3531)
Cu (0.2335, 0.7439, 0.1010)
Cu (0.5000, 0.0000, 0.0000)
O (0.0080, 0.7253, 0.2383)
O (0.2533, 0.5057, 0.0709)
O (0.2671, 0.5103, 0.6359)
O (0.4776, 0.2371, 0.9546)



Number 1: uncorrected formation energy 0.790 eV/atom. Number 2: uncorrected formation energy 0.911 eV/atom. Number 3: uncorrected formation energy 1.256 eV/atom. Number 4: uncorrected formation energy -1.470 eV/atom.